A relaxed ScMo2Pb crystal, computed with PBE.

Output
The magnetization is 0.00 μB per formula unit. The calculation puts the energy of formation at 0.612 eV/atom. As for the calculated density: 9.34 g/cm³.

```
data_ScMo2Pb
_chemical_formula_sum 'Sc1 Mo2 Pb1'
_symmetry_space_group_name_H-M 'P 4/m m m'
_symmetry_Int_Tables_number 123
_symmetry_space_group_name_Hall '-P 4 2'
_cell_length_a 2.895
_cell_length_b 2.895
_cell_length_c 9.420
_cell_angle_alpha 90.00
_cell_angle_beta 90.00
_cell_angle_gamma 90.00
loop_
_atom_site_label
_atom_site_fract_x
_atom_site_fract_y
_atom_site_fract_z
Sc1 0.000 0.000 0.000
Mo1 0.500 0.500 0.243
Pb1 0.000 0.000 0.500
```

A relaxed AcEr3Pb3 crystal, computed with PBE.

Output
The magnetization is 0.00 μB per formula unit. The calculation puts the energy of formation at -0.364 eV/atom. As for the calculated density: 10.33 g/cm³.

```
data_AcEr3Pb3
_chemical_formula_sum 'Ac2 Er6 Pb6'
_symmetry_space_group_name_H-M 'P 63/m'
_symmetry_Int_Tables_number 176
_symmetry_space_group_name_Hall '-P 6c'
_cell_length_a 9.5151
_cell_length_b 9.5151
_cell_length_c 5.5395
_cell_angle_alpha 90.00
_cell_angle_beta 90.00
_cell_angle_gamma 120.00
loop_
_atom_site_label
_atom_site_fract_x
_atom_site_fract_y
_atom_site_fract_z
Ac1 0.3333 0.6667 0.2500
Er1 0.0055 0.2300 0.2500
Pb1 0.0745 0.4391 0.7500
```

A relaxed ZrCrSi2 crystal, computed with PBE.

Output
The uncorrected formation energy is 0.2227 eV per atom. The magnetization is 1.91 μB per formula unit. The energy above the most stable polymorph in this dataset comes out at 0.850 eV/atom. As for the calculated density: 5.17 g/cm³.

```
data_ZrCrSi2
_chemical_formula_sum 'Zr3 Cr3 Si6'
_symmetry_space_group_name_H-M 'R 3 m'
_symmetry_Int_Tables_number 160
_symmetry_space_group_name_Hall 'R 3 -2"'
_cell_length_a 2.9532
_cell_length_b 2.9532
_cell_length_c 25.4435
_cell_angle_alpha 90.00
_cell_angle_beta 90.00
_cell_angle_gamma 120.00
loop_
_atom_site_label
_atom_site_fract_x
_atom_site_fract_y
_atom_site_fract_z
Zr1 0.0000 0.0000 0.0000
Cr1 0.0000 0.0000 0.7603
Si1 0.0000 0.0000 0.2433
Si2 0.0000 0.0000 0.4983
```

A relaxed Tb2Y3Sc4 crystal, computed with PBE.

Output
The magnetization is 0.00 μB per formula unit. The calculation puts the energy of formation at 0.117 eV/atom. The energy above the most stable polymorph in this dataset comes out at 0.071 eV/atom. As for the calculated density: 4.92 g/cm³.

```
data_Tb2Y3Sc4
_chemical_formula_sum 'Tb8 Y12 Sc16'
_symmetry_space_group_name_H-M 'C 1 2/c 1'
_symmetry_Int_Tables_number 15
_cell_length_a 16.004
_cell_length_b 11.231
_cell_length_c 5.794
_cell_angle_alpha 90.00
_cell_angle_beta 97.32
_cell_angle_gamma 90.00
loop_
_symmetry_equiv_pos_as_xyz
'x,y,z'
'-x,-y,-z'
'-x,y,-z+1/2'
'x,-y,z+1/2'
'x+1/2,y+1/2,z'
'-x+1/2,-y+1/2,-z'
'-x+1/2,y+1/2,-z+1/2'
'x+1/2,-y+1/2,z+1/2'
loop_
_atom_site_label
_atom_site_fract_x
_atom_site_fract_y
_atom_site_fract_z
Tb1 0.123 0.126 0.302
Y1 0.000 0.126 0.750
Y2 0.161 0.391 0.604
Sc1 0.049 0.374 0.033
Sc2 0.230 0.139 0.847
```

A relaxed LaPuScO6 crystal, computed with PBE.

Output
The uncorrected formation energy is -3.0928 eV per atom. The magnetization is 2.00 μB per formula unit. As for the calculated density: 6.37 g/cm³.

```
data_LaPuScO6
_chemical_formula_sum 'La2 Pu2 Sc2 O12'
_symmetry_space_group_name_H-M 'P -3 1 c'
_symmetry_Int_Tables_number 163
_symmetry_space_group_name_Hall '-P 3 2c'
_cell_length_a 5.5669
_cell_length_b 5.5669
_cell_length_c 10.1810
_cell_angle_alpha 90.00
_cell_angle_beta 90.00
_cell_angle_gamma 120.00
loop_
_atom_site_label
_atom_site_fract_x
_atom_site_fract_y
_atom_site_fract_z
La1 0.0000 0.0000 0.0000
Pu1 0.3333 0.6667 0.2500
Sc1 0.3333 0.6667 0.7500
O1 0.0076 0.3637 0.1414
```

A relaxed Ho5Ge2O12 crystal, computed with PBE.

Output
The uncorrected formation energy is -2.9217 eV per atom. The magnetization is 0.94 μB per formula unit. As for the calculated density: 7.91 g/cm³.

```
data_Ho5Ge2O12
_chemical_formula_sum 'Ho10 Ge4 O24'
_symmetry_space_group_name_H-M 'C 1 2/m 1'
_symmetry_Int_Tables_number 12
_cell_length_a 12.261
_cell_length_b 5.762
_cell_length_c 7.224
_cell_angle_alpha 90.00
_cell_angle_beta 107.17
_cell_angle_gamma 90.00
loop_
_symmetry_equiv_pos_as_xyz
'x,y,z'
'-x,-y,-z'
'-x,y,-z'
'x,-y,z'
'x+1/2,y+1/2,z'
'-x+1/2,-y+1/2,-z'
'-x+1/2,y+1/2,-z'
'x+1/2,-y+1/2,z'
loop_
_atom_site_label
_atom_site_fract_x
_atom_site_fract_y
_atom_site_fract_z
Ho1 0.000 0.000 0.000
Ho2 0.194 0.500 0.336
Ho3 0.195 0.500 0.858
Ge1 0.000 0.245 0.500
O1 0.000 0.000 0.320
O2 0.001 0.500 0.318
O3 0.153 0.249 0.075
O4 0.161 0.260 0.581
```